# GGA+U NaLiNiPO4F, optimized geometry
# V ... 393.5 Å³ per cell
# Size of the total moment ... 1.96 μB per formula unit
# Calculated total energy ... -210.84 eV per cell
data_NaLiNiPO4F
_chemical_formula_sum 'Na4 Li4 Ni4 P4 O16 F4'
_cell_length_a 11.3012
_cell_length_b 5.0782
_cell_length_c 6.8571
_cell_angle_alpha 89.68
_cell_angle_beta 90.00
_cell_angle_gamma 90.00
_symmetry_space_group_name_H-M 'P 1'
_symmetry_Int_Tables_number 1
loop_
_symmetry_equiv_pos_as_xyz
'x,y,z'
loop_
_atom_site_label
_atom_site_fract_x
_atom_site_fract_y
_atom_site_fract_z
_atom_site_occupancy
Na1 0.3344 0.7515 0.4895 1
Na2 0.8344 0.7485 0.5105 1
Na3 0.6656 0.2485 0.5105 1
Na4 0.1656 0.2515 0.4895 1
Li1 0.4210 0.2648 0.2612 1
Li2 0.9210 0.2352 0.7388 1
Li3 0.5790 0.7352 0.7388 1
Li4 0.0790 0.7648 0.2612 1
Ni1 0.3277 0.7343 0.0200 1
Ni2 0.8277 0.7657 0.9800 1
Ni3 0.6723 0.2657 0.9800 1
Ni4 0.1723 0.2343 0.0200 1
P1 0.0822 0.7268 0.7569 1
P2 0.5822 0.7732 0.2431 1
P3 0.9178 0.2732 0.2431 1
P4 0.4178 0.2268 0.7569 1
O1 0.3755 0.2663 0.5449 1
O2 0.8755 0.2337 0.4551 1
O3 0.6245 0.7337 0.4551 1
O4 0.1245 0.7663 0.5449 1
O5 0.1708 0.8639 0.8987 1
O6 0.6708 0.6361 0.1013 1
O7 0.8292 0.1361 0.1013 1
O8 0.3292 0.3639 0.8987 1
O9 0.4254 0.9253 0.8038 1
O10 0.9254 0.5747 0.1962 1
O11 0.5746 0.0747 0.1962 1
O12 0.0746 0.4253 0.8038 1
O13 0.5414 0.3569 0.7832 1
O14 0.0414 0.1431 0.2168 1
O15 0.4586 0.6431 0.2168 1
O16 0.9586 0.8569 0.7832 1
F1 0.2881 0.0366 0.2096 1
F2 0.7881 0.4634 0.7904 1
F3 0.7119 0.9634 0.7904 1
F4 0.2119 0.5366 0.2096 1